# Hg2Cl | the Alexandria database | PBE-GGA | relaxed
# - Uncorrected formation energy: -0.135 eV/atom
data_Hg2Cl
_chemical_formula_sum 'Hg4 Cl2'
_symmetry_space_group_name_H-M 'I 4/m m m'
_symmetry_Int_Tables_number 139
_symmetry_space_group_name_Hall '-I 4 2'
_cell_length_a 3.659
_cell_length_b 3.659
_cell_length_c 11.273
_cell_angle_alpha 90.00
_cell_angle_beta 90.00
_cell_angle_gamma 90.00
loop_
_atom_site_label
_atom_site_type_symbol
_atom_site_fract_x
_atom_site_fract_y
_atom_site_fract_z
_atom_site_occupancy
Hg1 Hg 0.000 0.000 0.174 1
Cl1 Cl 0.000 0.000 0.500 1

# HgCl | the Alexandria database | PBE-GGA | relaxed
# - Uncorrected formation energy: -0.378 eV/atom
data_HgCl
_chemical_formula_sum 'Hg6 Cl6'
_symmetry_space_group_name_H-M 'R -3 m'
_symmetry_Int_Tables_number 166
_symmetry_space_group_name_Hall '-R 3 2"'
_cell_length_a 3.9233
_cell_length_b 3.9233
_cell_length_c 25.3930
_cell_angle_alpha 90.00
_cell_angle_beta 90.00
_cell_angle_gamma 120.00
loop_
_atom_site_label
_atom_site_type_symbol
_atom_site_fract_x
_atom_site_fract_y
_atom_site_fract_z
_atom_site_occupancy
Hg1 Hg 0.0000 0.0000 0.2051 1
Cl1 Cl 0.0000 0.0000 0.4000 1

# Hg2Cl | the Alexandria database | PBE-GGA | relaxed
# - Uncorrected formation energy: -0.208 eV/atom
data_Hg2Cl
_chemical_formula_sum 'Hg8 Cl4'
_symmetry_space_group_name_H-M 'C 1 2/c 1'
_symmetry_Int_Tables_number 15
_symmetry_space_group_name_Hall '-C 2yc'
_cell_length_a 8.144
_cell_length_b 7.235
_cell_length_c 7.341
_cell_angle_alpha 90.00
_cell_angle_beta 123.50
_cell_angle_gamma 90.00
loop_
_atom_site_label
_atom_site_type_symbol
_atom_site_fract_x
_atom_site_fract_y
_atom_site_fract_z
_atom_site_occupancy
Hg1 Hg 0.172 0.125 0.250 1
Cl1 Cl 0.000 0.375 0.750 1

# Hg2Cl | the Alexandria database | PBE-GGA | relaxed
# - Uncorrected formation energy: -0.291 eV/atom
data_Hg2Cl
_chemical_formula_sum 'Hg8 Cl4'
_symmetry_space_group_name_H-M 'C 1 2/m 1'
_symmetry_Int_Tables_number 12
_symmetry_space_group_name_Hall '-C 2y'
_cell_length_a 12.159
_cell_length_b 3.817
_cell_length_c 9.024
_cell_angle_alpha 90.00
_cell_angle_beta 111.80
_cell_angle_gamma 90.00
loop_
_atom_site_label
_atom_site_type_symbol
_atom_site_fract_x
_atom_site_fract_y
_atom_site_fract_z
_atom_site_occupancy
Hg1 Hg 0.070 0.000 0.416 1
Hg2 Hg 0.147 0.500 0.879 1
Cl1 Cl 0.174 0.500 0.308 1

# HgCl3 | the Alexandria database | PBE-GGA | relaxed
# - Uncorrected formation energy: 0.260 eV/atom
data_HgCl3
_chemical_formula_sum 'Hg1 Cl3'
_symmetry_space_group_name_H-M 'P 4/m m m'
_symmetry_Int_Tables_number 123
_symmetry_space_group_name_Hall '-P 4 2'
_cell_length_a 4.903
_cell_length_b 4.903
_cell_length_c 3.763
_cell_angle_alpha 90.00
_cell_angle_beta 90.00
_cell_angle_gamma 90.00
loop_
_atom_site_label
_atom_site_type_symbol
_atom_site_fract_x
_atom_site_fract_y
_atom_site_fract_z
_atom_site_occupancy
Hg1 Hg 0.000 0.000 0.000 1
Cl1 Cl 0.000 0.500 0.500 1
Cl2 Cl 0.500 0.500 0.000 1

# HgCl3 | the Alexandria database | PBE-GGA | relaxed
# - Uncorrected formation energy: -0.148 eV/atom
data_HgCl3
_chemical_formula_sum 'Hg2 Cl6'
_symmetry_space_group_name_H-M 'C m m m'
_symmetry_Int_Tables_number 65
_symmetry_space_group_name_Hall '-C 2 2'
_cell_length_a 6.628
_cell_length_b 8.609
_cell_length_c 3.781
_cell_angle_alpha 90.00
_cell_angle_beta 90.00
_cell_angle_gamma 90.00
loop_
_atom_site_label
_atom_site_type_symbol
_atom_site_fract_x
_atom_site_fract_y
_atom_site_fract_z
_atom_site_occupancy
Hg1 Hg 0.000 0.000 0.000 1
Cl1 Cl 0.000 0.201 0.500 1
Cl2 Cl 0.000 0.500 0.000 1

# HgCl | the Alexandria database | PBE-GGA | relaxed
# - Uncorrected formation energy: -0.416 eV/atom
data_HgCl
_chemical_formula_sum 'Hg4 Cl4'
_symmetry_space_group_name_H-M 'P n m a'
_symmetry_Int_Tables_number 62
_symmetry_space_group_name_Hall '-P 2ac 2n'
_cell_length_a 10.053
_cell_length_b 3.821
_cell_length_c 5.686
_cell_angle_alpha 90.00
_cell_angle_beta 90.00
_cell_angle_gamma 90.00
loop_
_atom_site_label
_atom_site_type_symbol
_atom_site_fract_x
_atom_site_fract_y
_atom_site_fract_z
_atom_site_occupancy
Hg1 Hg 0.060 0.250 0.152 1
Cl1 Cl 0.161 0.750 0.443 1

# HgCl | the Alexandria database | PBE-GGA | relaxed
# - Uncorrected formation energy: -0.203 eV/atom
data_HgCl
_chemical_formula_sum 'Hg2 Cl2'
_symmetry_space_group_name_H-M 'P m m a'
_symmetry_Int_Tables_number 51
_symmetry_space_group_name_Hall '-P 2a 2a'
_cell_length_a 7.097
_cell_length_b 4.037
_cell_length_c 4.047
_cell_angle_alpha 90.00
_cell_angle_beta 90.00
_cell_angle_gamma 90.00
loop_
_atom_site_label
_atom_site_type_symbol
_atom_site_fract_x
_atom_site_fract_y
_atom_site_fract_z
_atom_site_occupancy
Hg1 Hg 0.250 0.000 0.067 1
Cl1 Cl 0.250 0.500 0.566 1

# HgCl2 | the Alexandria database | PBE-GGA | relaxed
# - Uncorrected formation energy: -0.223 eV/atom
data_HgCl2
_chemical_formula_sum 'Hg2 Cl4'
_symmetry_space_group_name_H-M 'P 63/m m c'
_symmetry_Int_Tables_number 194
_symmetry_space_group_name_Hall '-P 6c 2c'
_cell_length_a 4.4805
_cell_length_b 4.4805
_cell_length_c 8.6148
_cell_angle_alpha 90.00
_cell_angle_beta 90.00
_cell_angle_gamma 120.00
loop_
_atom_site_label
_atom_site_type_symbol
_atom_site_fract_x
_atom_site_fract_y
_atom_site_fract_z
_atom_site_occupancy
Hg1 Hg 0.3333 0.6667 0.2500 1
Cl1 Cl 0.0000 0.0000 0.0000 1
Cl2 Cl 0.3333 0.6667 0.7500 1

# HgCl3 | the Alexandria database | PBE-GGA | relaxed
# - Uncorrected formation energy: -0.122 eV/atom
data_HgCl3
_chemical_formula_sum 'Hg2 Cl6'
_symmetry_space_group_name_H-M 'P 63/m m c'
_symmetry_Int_Tables_number 194
_symmetry_space_group_name_Hall '-P 6c 2c'
_cell_length_a 8.6181
_cell_length_b 8.6181
_cell_length_c 3.6692
_cell_angle_alpha 90.00
_cell_angle_beta 90.00
_cell_angle_gamma 120.00
loop_
_atom_site_label
_atom_site_type_symbol
_atom_site_fract_x
_atom_site_fract_y
_atom_site_fract_z
_atom_site_occupancy
Hg1 Hg 0.3333 0.6667 0.2500 1
Cl1 Cl 0.2015 0.4030 0.7500 1

# HgCl | the Alexandria database | PBE-GGA | relaxed
# - Uncorrected formation energy: -0.411 eV/atom
data_HgCl
_chemical_formula_sum 'Hg8 Cl8'
_symmetry_space_group_name_H-M 'I 4/m'
_symmetry_Int_Tables_number 87
_symmetry_space_group_name_Hall '-I 4'
_cell_length_a 12.141
_cell_length_b 12.141
_cell_length_c 3.841
_cell_angle_alpha 90.00
_cell_angle_beta 90.00
_cell_angle_gamma 90.00
loop_
_atom_site_label
_atom_site_type_symbol
_atom_site_fract_x
_atom_site_fract_y
_atom_site_fract_z
_atom_site_occupancy
Hg1 Hg 0.170 0.717 0.000 1
Cl1 Cl 0.013 0.715 0.500 1

# HgCl5 | the Alexandria database | PBE-GGA | relaxed
# - Uncorrected formation energy: 0.249 eV/atom
data_HgCl5
_chemical_formula_sum 'Hg1 Cl5'
_symmetry_space_group_name_H-M 'P -6 2 m'
_symmetry_Int_Tables_number 189
_symmetry_space_group_name_Hall 'P -6 -2'
_cell_length_a 6.9859
_cell_length_b 6.9859
_cell_length_c 3.7610
_cell_angle_alpha 90.00
_cell_angle_beta 90.00
_cell_angle_gamma 120.00
loop_
_atom_site_label
_atom_site_type_symbol
_atom_site_fract_x
_atom_site_fract_y
_atom_site_fract_z
_atom_site_occupancy
Hg1 Hg 0.0000 0.0000 0.0000 1
Cl1 Cl 0.0000 0.7178 0.5000 1
Cl2 Cl 0.3333 0.6667 0.0000 1

Q: Among the records above, which one has the highest uncorrected formation energy?
A: number 5